Model a:
# Ag2SbTe | Alexandria | GGA-PBEsol | relaxed
# volume	22.3	Å³/atom
# DOS at the Fermi energy	1.73	states/eV per cell
# space-group type	P4/mmm (123)
data_Ag2SbTe
_space_group_name_H-M_alt 'P 1'
_space_group_IT_number 1
_cell_length_a 3.852
_cell_length_b 3.852
_cell_length_c 6.000
_cell_angle_alpha 90.00
_cell_angle_beta 90.00
_cell_angle_gamma 90.00
loop_
_space_group_symop_operation_xyz
'x,y,z'
loop_
_atom_site_label
_atom_site_fract_x
_atom_site_fract_y
_atom_site_fract_z
Sb1 0.500 0.500 0.000
Ag1 0.000 0.000 0.758
Ag2 0.000 0.000 0.242
Te1 0.500 0.500 0.500



Model b:
# Ag2SbTe | Alexandria | GGA-PBEsol | relaxed
# volume	22.7	Å³/atom
# DOS at the Fermi energy	1.27	states/eV per cell
# space-group type	Pm (6)
data_Ag2SbTe
_space_group_name_H-M_alt 'P 1'
_space_group_IT_number 1
_cell_length_a 3.032
_cell_length_b 4.170
_cell_length_c 7.353
_cell_angle_alpha 90.00
_cell_angle_beta 102.28
_cell_angle_gamma 90.00
loop_
_space_group_symop_operation_xyz
'x,y,z'
loop_
_atom_site_label
_atom_site_fract_x
_atom_site_fract_y
_atom_site_fract_z
Te1 0.466 0.500 0.807
Ag1 0.075 0.000 0.031
Ag2 0.677 0.500 0.228
Sb1 0.281 0.000 0.433



Most stable structure - model b; separation to the second - 12.8 kJ/mol of atoms.